## SiBiIr2 (PBE-GGA)

Data for a relaxed structure of SiBiIr2.

Values from the calculation:
DOS at the Fermi energy in states/eV/f.u.: 1.7
Calculated volume in Å³/cell: 184.7
Total magnetic moment in μB/atom: 0.00
Symmetry: I-42d
Formation energy (no corrections) in meV per atom: 199.7
Crystal system: tetragonal
Distance to the lowest polymorph of the same formula in meV per atom: 0

Cell: 7.1966 7.1966 7.1966 Å, 134.81 134.81 65.82°
With the nearest neighbours (Å) after each atom.
Atoms (fractional coordinates):
Si (0.0000, 0.0000, 0.0000)  4 Ir 2.30
Si (0.7500, 0.2500, 0.5000)  4 Ir 2.30
Bi (0.2500, 0.7500, 0.5000)  4 Ir 2.67
Bi (0.5000, 0.5000, 0.0000)  4 Ir 2.67
Ir (0.0646, 0.6250, 0.9396)  2 Si 2.30
Ir (0.3750, 0.3146, 0.4396)  2 Si 2.30
Ir (0.6854, 0.1250, 0.0604)  2 Si 2.30
Ir (0.8750, 0.9354, 0.5604)  2 Si 2.30

## CuPdAu2 (PBE-GGA)

Data for a relaxed structure of CuPdAu2.

Values from the calculation:
DOS at the Fermi energy in states/eV/f.u.: 1.4
Calculated volume in Å³/cell: 64.4
Total magnetic moment in μB/atom: 0.00
Symmetry: Fm-3m
ΔE_f in meV per atom: -54
Crystal system: cubic
Distance to the lowest polymorph of the same formula in meV per atom: 38

Cell: 4.4990 4.4990 4.4990 Å, 60.00 60.00 60.00°
With the nearest neighbours (Å) after each atom.
Atoms (fractional coordinates):
Cu (0.0000, 0.0000, 0.0000)  8 Au 2.76
Pd (0.5000, 0.5000, 0.5000)  8 Au 2.76
Au (0.2500, 0.2500, 0.2500)  4 Pd 2.76, 4 Cu 2.76
Au (0.7500, 0.7500, 0.7500)  4 Pd 2.76, 4 Cu 2.76

## KNbNO2 (PBE-GGA)

Data for a relaxed structure of KNbNO2.

Values from the calculation:
DOS at the Fermi energy in states/eV/f.u.: 2.0
Calculated volume in Å³/cell: 69.4
Total magnetic moment in μB/atom: 0.20
Symmetry: P4/mmm
Formation energy (no corrections) in meV per atom: -1457.1
Crystal system: tetragonal

Cell: 4.0832 4.0832 4.1649 Å, 90.00 90.00 90.00°
With the nearest neighbours (Å) after each atom.
Atoms (fractional coordinates):
K (0.0000, 0.0000, 0.0000)  4 N 2.89, 8 O 2.92
Nb (0.5000, 0.5000, 0.5000)  4 O 2.04, 2 N 2.08
N (0.5000, 0.5000, 0.0000)  2 Nb 2.08
O (0.0000, 0.5000, 0.5000)  2 Nb 2.04
O (0.5000, 0.0000, 0.5000)  2 Nb 2.04

## LiTcHg2 (PBE-GGA)

Data for a relaxed structure of LiTcHg2.

Values from the calculation:
DOS at the Fermi energy in states/eV/f.u.: 1.2
Calculated volume in Å³/cell: 70.2
Total magnetic moment in μB/atom: 0.00
Symmetry: Pmm2
ΔE_f in meV per atom: 158
Crystal system: orthorhombic
Distance to the lowest polymorph of the same formula in meV per atom: 0

Cell: 2.9988 4.8403 4.8395 Å, 90.00 90.00 90.00°
With the nearest neighbours (Å) after each atom.
Atoms (fractional coordinates):
Li (0.0000, 0.0000, 0.0000)  8 Hg 2.84-2.85, 2 Li 3.00
Tc (0.0000, 0.5000, 0.5022)  8 Hg 2.85, 2 Tc 3.00
Hg (0.5000, 0.0000, 0.5009)  4 Li 2.84-2.85, 4 Tc 2.85, 2 Hg 3.00
Hg (0.5000, 0.5000, 0.0022)  4 Tc 2.85, 4 Li 2.85, 2 Hg 3.00

## GdSc3Ir (PBE-GGA)

Data for a relaxed structure of GdSc3Ir.

Values from the calculation:
DOS at the Fermi energy in states/eV/f.u.: 6.8
Calculated volume in Å³/cell: 132.7
Total magnetic moment in μB/atom: 1.48
Symmetry: Pm-3m
ΔE_f in meV per atom: -314
Crystal system: cubic

Cell: 5.1006 5.1006 5.1006 Å, 90.00 90.00 90.00°
With the nearest neighbours (Å) after each atom.
Atoms (fractional coordinates):
Gd (0.0000, 0.0000, 0.0000)  12 Sc 3.61
Sc (0.0000, 0.5000, 0.5000)  2 Ir 2.55
Sc (0.5000, 0.0000, 0.5000)  2 Ir 2.55
Sc (0.5000, 0.5000, 0.0000)  2 Ir 2.55
Ir (0.5000, 0.5000, 0.5000)  6 Sc 2.55

## NbGaI2O (PBE-GGA)

Data for a relaxed structure of NbGaI2O.

Values from the calculation:
DOS at the Fermi energy in states/eV/f.u.: 3.0
Calculated volume in Å³/cell: 118.4
Total magnetic moment in μB/atom: 0.61
Symmetry: P4/mmm
Formation energy (no corrections) in meV per atom: 91.2
Crystal system: tetragonal
Distance to the lowest polymorph of the same formula in meV per atom: 770

Cell: 5.7351 5.7351 3.6008 Å, 90.00 90.00 90.00°
With the nearest neighbours (Å) after each atom.
Atoms (fractional coordinates):
Nb (0.0000, 0.0000, 0.0000)  8 I 3.39, 2 Nb 3.60
Ga (0.5000, 0.5000, 0.5000)  2 O 1.80
I (0.0000, 0.5000, 0.5000)  2 Ga 2.87
I (0.5000, 0.0000, 0.5000)  2 Ga 2.87
O (0.5000, 0.5000, 0.0000)  2 Ga 1.80